Density functional theory data (PBE-GGA) for AlFeIr2 after structural relaxation.

Cell: 5.130 5.130 5.130 Å, 147.14 130.85 60.39°
Each line ends with the local moment (μB).
Sites, in units of the cell vectors:
Fe (0.744, 0.244, 0.500)  2.66
Ir (0.262, 0.762, 0.500)  0.41
Ir (0.991, 0.991, 0.000)  0.32
Al (0.503, 0.503, 0.000)  -0.02

Properties
The density of states at the Fermi level is 2.88 states/eV/f.u. The formation energy comes out at -1.2 eV/f.u.